No. 1
{
  "formula": "SrTmRe2O8",
  "functional": "PBE",
  "state": "optimized geometry",
  "lattice_angstrom": [[-5.652, 1.749, -0.106], [1.309, -5.749, 0.498], [0.061, 0.626, 7.063]],
  "species": ["Sr", "Tm", "Re", "Re", "O", "O", "O", "O", "O", "O", "O", "O"],
  "frac_coords": [[0.000, 0.000, 0.000], [0.000, 0.000, 0.500], [0.667, 0.333, 0.215], [0.333, 0.667, 0.785], [0.333, 0.667, 0.037], [0.324, 0.162, 0.294], [0.838, 0.161, 0.294], [0.667, 0.333, 0.963], [0.162, 0.839, 0.706], [0.676, 0.838, 0.706], [0.161, 0.324, 0.706], [0.839, 0.676, 0.294]],
  "dft_energy_ev_per_atom": -7.977,
  "magnetic_moment_mub_per_cell": 3.0,
  "spacegroup": "P-3m1, No. 164"
}

No. 2
{
  "formula": "SrTm2ReO8",
  "functional": "PBE",
  "state": "optimized geometry",
  "lattice_angstrom": [[-0.202, -3.138, -3.858], [-1.046, -3.706, 3.110], [-6.928, 1.344, -0.730]],
  "species": ["Sr", "Tm", "Tm", "Re", "O", "O", "O", "O", "O", "O", "O", "O"],
  "frac_coords": [[0.000, 0.000, 0.500], [0.500, 0.500, 0.767], [0.500, 0.500, 0.233], [0.000, 0.000, 0.000], [0.181, 0.808, 0.192], [0.718, 0.728, 0.000], [0.819, 0.192, 0.192], [0.819, 0.192, 0.808], [0.282, 0.272, 0.000], [0.181, 0.808, 0.808], [0.645, 0.672, 0.500], [0.355, 0.328, 0.500]],
  "dft_energy_ev_per_atom": -7.754,
  "magnetic_moment_mub_per_cell": 1.0,
  "spacegroup": "P2/m, No. 10"
}

No. 3
{
  "formula": "SrTmReO6",
  "functional": "PBE",
  "state": "optimized geometry",
  "lattice_angstrom": [[-5.134, 1.207, -1.613], [-1.858, -1.808, -4.868], [-1.755, -4.391, 2.300]],
  "species": ["Sr", "Tm", "Re", "O", "O", "O", "O", "O", "O"],
  "frac_coords": [[0.000, 0.000, 0.000], [0.667, 0.667, 0.500], [0.333, 0.333, 0.500], [0.041, 0.350, 0.294], [0.350, 0.041, 0.706], [0.609, 0.350, 0.706], [0.041, 0.609, 0.706], [0.350, 0.609, 0.294], [0.609, 0.041, 0.294]],
  "dft_energy_ev_per_atom": -7.892,
  "magnetic_moment_mub_per_cell": 0.0,
  "spacegroup": "P312, No. 149"
}